[1]
Entry from Alexandria via LeMat-Bulk: an optimized crystal structure of NbZnMo2F (PBE with a Hubbard U).

a = 5.0279 Å, b = 4.9884 Å, c = 5.0279 Å
α = 90.00°, β = 90.00°, γ = 90.00°
Closest atoms and distances in Å follow each position.
Sites, in units of the cell vectors:
Zn: 0.0000 0.0000 0.0000  2 Nb 2.49, 4 Mo 2.51
Nb: 0.0000 0.5000 0.0000  2 Zn 2.49
Mo: 0.0000 0.0000 0.5000  2 Zn 2.51
Mo: 0.5000 0.0000 0.0000  2 Zn 2.51
F: 0.5000 0.5000 0.5000  8 Mo 3.54, 4 Nb 3.56

Results
Volume ... 126 Å³ per cell
VASP energy ... -20.5 eV per cell

***

[2]
Entry from Alexandria via LeMat-Bulk: an optimized crystal structure of NdMoO4F (PBE with a Hubbard U).

a = 6.6242 Å, b = 7.0138 Å, c = 10.1624 Å
α = 64.08°, β = 90.00°, γ = 90.00°
Closest atoms and distances in Å follow each position.
Sites, in units of the cell vectors:
Nd: 0.6270 0.8037 0.4222  2 F 2.37-2.38, 6 O 2.43-2.56
Nd: 0.3730 0.1963 0.5778  2 F 2.37-2.38, 6 O 2.43-2.56
Nd: 0.8730 0.8037 0.9222  2 F 2.37-2.38, 6 O 2.43-2.56
Nd: 0.1270 0.1963 0.0778  2 F 2.37-2.38, 6 O 2.43-2.56
F: 0.1171 0.9838 0.7381  2 Nd 2.37-2.38, 1 Mo 2.64
F: 0.8829 0.0162 0.2619  2 Nd 2.37-2.38, 1 Mo 2.64
F: 0.6171 0.0162 0.7619  2 Nd 2.37-2.38, 1 Mo 2.64
F: 0.3829 0.9838 0.2381  2 Nd 2.37-2.38, 1 Mo 2.64
O: 0.3581 0.8356 0.5807  1 Mo 1.85
O: 0.8581 0.1644 0.9193  1 Mo 1.85
O: 0.6636 0.5565 0.8709  1 Mo 1.76
O: 0.3364 0.4435 0.1291  1 Mo 1.76
O: 0.9024 0.7839 0.5851  1 Mo 1.78
O: 0.4024 0.2161 0.9149  1 Mo 1.78
O: 0.8957 0.4407 0.1368  1 Mo 1.83
O: 0.0976 0.2161 0.4149  1 Mo 1.78
O: 0.6419 0.1644 0.4193  1 Mo 1.85
O: 0.3957 0.5593 0.3632  1 Mo 1.83
O: 0.1419 0.8356 0.0807  1 Mo 1.85
O: 0.1636 0.4435 0.6291  1 Mo 1.76
O: 0.8364 0.5565 0.3709  1 Mo 1.76
O: 0.5976 0.7839 0.0851  1 Mo 1.78
O: 0.1043 0.5593 0.8632  1 Mo 1.83
O: 0.6043 0.4407 0.6368  1 Mo 1.83
Mo: 0.1363 0.6660 0.6650  4 O 1.76-1.85
Mo: 0.3637 0.6660 0.1650  4 O 1.76-1.85
Mo: 0.8637 0.3340 0.3350  4 O 1.76-1.85
Mo: 0.6363 0.3340 0.8350  4 O 1.76-1.85

Results
Volume ... 425 Å³ per cell
VASP energy ... -206.6 eV per cell

***

[3]
Entry from Alexandria via LeMat-Bulk: an optimized crystal structure of NdMoO4F (PBE with a Hubbard U).

a = 6.2332 Å, b = 6.2332 Å, c = 7.1368 Å
α = 76.04°, β = 76.04°, γ = 75.20°
Closest atoms and distances in Å follow each position.
Sites, in units of the cell vectors:
O: 0.8902 0.5216 0.8435  1 Mo 1.82
O: 0.7363 0.7363 0.4640  1 Mo 1.77
O: 0.1098 0.4784 0.1565  1 Mo 1.82
O: 0.4639 0.4639 0.7727  1 Mo 1.78
O: 0.5216 0.8902 0.8435  1 Mo 1.82
O: 0.5361 0.5361 0.2273  1 Mo 1.78
O: 0.4784 0.1098 0.1565  1 Mo 1.82
O: 0.2637 0.2637 0.5360  1 Mo 1.77
Nd: 0.7954 0.7954 0.1066  2 F 2.31-2.33, 4 O 2.43-2.44
Nd: 0.2046 0.2046 0.8934  2 F 2.31-2.33, 4 O 2.43-2.44
Mo: 0.3486 0.3486 0.2786  4 O 1.77-1.82
Mo: 0.6514 0.6514 0.7214  4 O 1.77-1.82
F: 0.9879 0.9879 0.8255  2 Nd 2.31-2.33, 1 F 2.57
F: 0.0121 0.0121 0.1745  2 Nd 2.31-2.33, 1 F 2.57

Results
Volume ... 255 Å³ per cell
VASP energy ... -103.3 eV per cell